Entry 1:
# K2FeAuBr6

An optimized crystal structure of K2FeAuBr6 (GGA-PBE, OQMD).

a = 7.5465 Å, b = 7.5465 Å, c = 7.5465 Å
α = 60.00°, β = 60.00°, γ = 60.00°
Last column: magnetic moment on the atom in μB.
Fractional coordinates of all 10 atoms:
Br (0.2595, 0.2595, 0.7405)  0.07
Br (0.7405, 0.2595, 0.7405)  0.07
Br (0.2595, 0.7405, 0.2595)  0.07
Br (0.7405, 0.7405, 0.2595)  0.07
Br (0.2595, 0.7405, 0.7405)  0.06
Br (0.7405, 0.2595, 0.2595)  0.06
Au (0.0000, 0.0000, 0.0000)  0.02
K (0.7500, 0.7500, 0.7500)  0.00
K (0.2500, 0.2500, 0.2500)  0.00
Fe (0.5000, 0.5000, 0.5000)  3.49

Computed properties:
The total magnetization is 4.130 μB per cell. As for the space group: No. 225.

Entry 2:
# Ga2Au3Br3

An optimized crystal structure of Ga2Au3Br3 (GGA-PBE, OQMD).

a = 6.7022 Å, b = 6.7022 Å, c = 6.7022 Å
α = 69.92°, β = 69.92°, γ = 69.92°
Fractional coordinates of all 8 atoms:
Ga (0.7557, 0.7557, 0.7557)
Ga (0.2443, 0.2443, 0.2443)
Au (0.5000, 0.5000, 0.5000)
Au (0.0859, 0.0859, 0.0859)
Au (0.9141, 0.9141, 0.9141)
Br (0.5000, 0.0000, 0.5000)
Br (0.5000, 0.5000, 0.0000)
Br (0.0000, 0.5000, 0.5000)

Computed properties:
As for the space group: No. 166.

Entry 3:
# GaAuI3Br

An optimized crystal structure of GaAuI3Br (GGA-PBE, OQMD).

a = 6.5279 Å, b = 6.6204 Å, c = 7.3697 Å
α = 115.21°, β = 115.24°, γ = 90.40°
Fractional coordinates of all 6 atoms:
I (0.1223, 0.6149, 0.7454)
I (0.8765, 0.9007, 0.2815)
I (0.6537, 0.1957, 0.7793)
Br (0.4353, 0.3496, 0.2667)
Ga (0.7600, 0.2659, 0.5008)
Au (0.9022, 0.9232, 0.9263)

Computed properties:
As for the space group: No. 1.

Entry 4:
# K2GeAuBr6

An optimized crystal structure of K2GeAuBr6 (GGA-PBE, OQMD).

a = 7.6846 Å, b = 7.6846 Å, c = 7.6846 Å
α = 60.00°, β = 60.00°, γ = 60.00°
Fractional coordinates of all 10 atoms:
Br (0.7460, 0.2540, 0.7460)
Br (0.7460, 0.2540, 0.2540)
Br (0.2540, 0.2540, 0.7460)
Br (0.7460, 0.7460, 0.2540)
Br (0.2540, 0.7460, 0.2540)
Br (0.2540, 0.7460, 0.7460)
Au (0.0000, 0.0000, 0.0000)
K (0.7500, 0.7500, 0.7500)
K (0.2500, 0.2500, 0.2500)
Ge (0.5000, 0.5000, 0.5000)

Computed properties:
As for the space group: No. 225.

Entry 5:
# Rb2GeAuBr6

An optimized crystal structure of Rb2GeAuBr6 (GGA-PBE, OQMD).

a = 7.7224 Å, b = 7.7224 Å, c = 7.7224 Å
α = 60.00°, β = 60.00°, γ = 60.00°
Fractional coordinates of all 10 atoms:
Au (0.0000, 0.0000, 0.0000)
Br (0.2543, 0.7457, 0.2543)
Br (0.7457, 0.2543, 0.2543)
Br (0.7457, 0.7457, 0.2543)
Br (0.7457, 0.2543, 0.7457)
Br (0.2543, 0.2543, 0.7457)
Br (0.2543, 0.7457, 0.7457)
Rb (0.7500, 0.7500, 0.7500)
Rb (0.2500, 0.2500, 0.2500)
Ge (0.5000, 0.5000, 0.5000)

Computed properties:
As for the space group: No. 225.

Entry 6:
# H6AuBrN2

An optimized crystal structure of H6AuBrN2 (GGA-PBE, OQMD).

a = 6.8267 Å, b = 11.2840 Å, c = 12.5619 Å
α = 90.00°, β = 90.00°, γ = 90.00°
Fractional coordinates of all 80 atoms:
N (0.8698, 0.5679, 0.6264)
N (0.6009, 0.2500, 0.4683)
N (0.5382, 0.2500, 0.8074)
N (0.8991, 0.7500, 0.9683)
N (0.3991, 0.7500, 0.5317)
N (0.0382, 0.2500, 0.6926)
N (0.9618, 0.7500, 0.3074)
N (0.6302, 0.4321, 0.1265)
N (0.6302, 0.0679, 0.1265)
N (0.8698, 0.9321, 0.6264)
N (0.1302, 0.4321, 0.3736)
N (0.3698, 0.9321, 0.8736)
N (0.4618, 0.7500, 0.1926)
N (0.3698, 0.5679, 0.8736)
N (0.1009, 0.2500, 0.0317)
N (0.1302, 0.0679, 0.3736)
H (0.6720, 0.4651, 0.2002)
H (0.3280, 0.9651, 0.7998)
H (0.6720, 0.0349, 0.2002)
H (0.9913, 0.0346, 0.3882)
H (0.6274, 0.3240, 0.8153)
H (0.9791, 0.2500, 0.7677)
H (0.0087, 0.5346, 0.6118)
H (0.1720, 0.4651, 0.2998)
H (0.7249, 0.4636, 0.0688)
H (0.5087, 0.5346, 0.8882)
H (0.3280, 0.5349, 0.7998)
H (0.4829, 0.8247, 0.5187)
H (0.9913, 0.4654, 0.3882)
H (0.1466, 0.2500, 0.1095)
H (0.6466, 0.2500, 0.3905)
H (0.3726, 0.6760, 0.1847)
H (0.7249, 0.0364, 0.0688)
H (0.6274, 0.1760, 0.8153)
H (0.7751, 0.5364, 0.5688)
H (0.2751, 0.5364, 0.9312)
H (0.4791, 0.2500, 0.7323)
H (0.1274, 0.3240, 0.6847)
H (0.0171, 0.3247, 0.0187)
H (0.8280, 0.9651, 0.7002)
H (0.5209, 0.7500, 0.2677)
H (0.5171, 0.1753, 0.4813)
H (0.5171, 0.3247, 0.4813)
H (0.2249, 0.0364, 0.4312)
H (0.4829, 0.6753, 0.5187)
H (0.1274, 0.1760, 0.6847)
H (0.0209, 0.7500, 0.2323)
H (0.7751, 0.9636, 0.5688)
H (0.2249, 0.4636, 0.4312)
H (0.3726, 0.8240, 0.1847)
H (0.8280, 0.5349, 0.7002)
H (0.4913, 0.0346, 0.1118)
H (0.4913, 0.4654, 0.1118)
H (0.8726, 0.8240, 0.3153)
H (0.9829, 0.8247, 0.9813)
H (0.5087, 0.9654, 0.8882)
H (0.3534, 0.7500, 0.6095)
H (0.8534, 0.7500, 0.8905)
H (0.0087, 0.9654, 0.6118)
H (0.2751, 0.9636, 0.9312)
H (0.9829, 0.6753, 0.9813)
H (0.8726, 0.6760, 0.3153)
H (0.1720, 0.0349, 0.2998)
H (0.0171, 0.1753, 0.0187)
Au (0.3278, 0.2500, 0.9238)
Au (0.1254, 0.2500, 0.3745)
Au (0.8746, 0.7500, 0.6255)
Au (0.6722, 0.7500, 0.0762)
Au (0.8278, 0.2500, 0.5762)
Au (0.3746, 0.7500, 0.8745)
Au (0.1722, 0.7500, 0.4238)
Au (0.6254, 0.2500, 0.1255)
Br (0.6538, 0.5348, 0.3772)
Br (0.1538, 0.5348, 0.1228)
Br (0.8462, 0.0348, 0.8772)
Br (0.3462, 0.4652, 0.6228)
Br (0.6538, 0.9652, 0.3772)
Br (0.8462, 0.4652, 0.8772)
Br (0.1538, 0.9652, 0.1228)
Br (0.3462, 0.0348, 0.6228)

Computed properties:
As for the space group: No. 62.

Entry 7:
# K2HfAuBr6

An optimized crystal structure of K2HfAuBr6 (GGA-PBE, OQMD).

a = 8.0058 Å, b = 8.0058 Å, c = 8.0058 Å
α = 60.00°, β = 60.00°, γ = 60.00°
Fractional coordinates of all 10 atoms:
K (0.2500, 0.2500, 0.2500)
K (0.7500, 0.7500, 0.7500)
Br (0.7328, 0.2672, 0.2672)
Br (0.2672, 0.7328, 0.7328)
Br (0.2672, 0.2672, 0.7328)
Br (0.2672, 0.7328, 0.2672)
Br (0.7328, 0.7328, 0.2672)
Br (0.7328, 0.2672, 0.7328)
Au (0.0000, 0.0000, 0.0000)
Hf (0.5000, 0.5000, 0.5000)

Computed properties:
The total magnetization is 0.002 μB per cell. As for the space group: No. 225.

Entry 8:
# K2HgAuBr6

An optimized crystal structure of K2HgAuBr6 (GGA-PBE, OQMD).

a = 7.8024 Å, b = 7.8024 Å, c = 7.8024 Å
α = 60.00°, β = 60.00°, γ = 60.00°
Fractional coordinates of all 10 atoms:
Br (0.7553, 0.2447, 0.2447)
Br (0.2447, 0.7553, 0.7553)
Br (0.7553, 0.7553, 0.2447)
Br (0.7553, 0.2447, 0.7553)
Br (0.2447, 0.2447, 0.7553)
Br (0.2447, 0.7553, 0.2447)
Hg (0.5000, 0.5000, 0.5000)
K (0.2500, 0.2500, 0.2500)
K (0.7500, 0.7500, 0.7500)
Au (0.0000, 0.0000, 0.0000)

Computed properties:
As for the space group: No. 225.

| no. | DFT total energy (eV/atom) |
| --- | --- |
| 1 | -3.201 |
| 2 | -2.493 |
| 3 | -2.504 |
| 4 | -2.900 |
| 5 | -2.907 |
| 6 | -4.562 |
| 7 | -3.687 |
| 8 | -2.391 |